Entry 1:
# Tm7PdI12

A geometry-optimized Tm7PdI12 structure (GGA-PBE, Alexandria via LeMat-Bulk).

a b c (Å): 15.5805 15.5805 10.6470
angles (deg): 90.00 90.00 120.00
Last column: nearest neighbours and their distance in Å.
Space group R-3 (No. 148, hexagonal axes)
Inequivalent atoms, fractional coordinates:
Tm 0.0000 0.0000 0.0000 x3  6 I 3.03
Tm 0.0439 0.8865 0.3560 x18  1 Pd 2.68
Pd 0.0000 0.0000 0.5000 x3  6 Tm 2.68
I 0.0182 0.4338 0.1568 x18  3 Tm 3.08-3.30
I 0.0514 0.8712 0.8401 x18  3 Tm 3.03-3.16

Properties
The raw formation energy comes out at -1.16 eV/atom. The calculation puts the density of states at the Fermi level at 0.281 states/eV/atom.



Entry 2:
# TmPdI2

A geometry-optimized TmPdI2 structure (GGA-PBE, Alexandria via LeMat-Bulk).

a b c (Å): 3.9255 3.9255 27.8702
angles (deg): 90.00 90.00 120.00
Last column: nearest neighbours and their distance in Å.
Space group R-3m (No. 166, hexagonal axes)
Inequivalent atoms, fractional coordinates:
Tm 0.0000 0.0000 0.0000 x3  6 I 3.05
Pd 0.0000 0.0000 0.5000 x3  2 I 2.61
I 0.0000 0.0000 0.4065 x6  1 Pd 2.61

Properties
The raw formation energy comes out at -0.44 eV/atom. The calculation puts the density of states at the Fermi level at 0.623 states/eV/atom.



Entry 3:
# Tm3PdI3

A geometry-optimized Tm3PdI3 structure (GGA-PBE, Alexandria via LeMat-Bulk).

a b c (Å): 8.9686 4.1544 12.1399
angles (deg): 90.00 93.37 90.00
Last column: nearest neighbours and their distance in Å.
Space group P2_1/m (No. 11)
Inequivalent atoms, fractional coordinates:
Tm 0.0934 0.2500 0.3183 x2  1 Pd 2.80, 2 I 3.11
Tm 0.1408 0.2500 0.8646 x2  3 Pd 2.79-2.87
Tm 0.2589 0.7500 0.1016 x2  2 Pd 2.78
Pd 0.0527 0.2500 0.0878 x2  6 Tm 2.78-2.87, 2 Pd 3.08
I 0.1447 0.2500 0.6027 x2  4 Tm 3.17-3.46
I 0.3490 0.7500 0.3593 x2  3 Tm 3.11-3.19
I 0.4213 0.7500 0.8666 x2  5 Tm 3.26-3.54

Properties
The raw formation energy comes out at -1.01 eV/atom. The calculation puts the density of states at the Fermi level at 0.608 states/eV/atom.



Entry 4:
# UPd2I8

A geometry-optimized UPd2I8 structure (GGA-PBE, Alexandria via LeMat-Bulk).

a b c (Å): 11.4584 11.8876 8.3640
angles (deg): 90.00 102.67 90.00
Last column: nearest neighbours and their distance in Å.
Space group C2/m (No. 12)
Inequivalent atoms, fractional coordinates:
U 0.0000 0.0000 0.0000 x2  6 I 2.96-3.02, 2 Pd 3.21
Pd 0.1285 0.0000 0.3814 x4  5 I 2.71-2.82
I 0.1193 0.0000 0.7114 x4  2 Pd 2.77-2.78, 1 U 3.02
I 0.1326 0.5000 0.4898 x4  1 Pd 2.71
I 0.1572 0.1795 0.1729 x8  1 Pd 2.82, 1 U 2.96

Properties
The raw formation energy comes out at -0.38 eV/atom. The calculation puts the density of states at the Fermi level at 0.428 states/eV/atom.



Entry 5:
# UPdI2

A geometry-optimized UPdI2 structure (GGA-PBE, Alexandria via LeMat-Bulk).

a b c (Å): 3.8748 3.8748 28.5220
angles (deg): 90.00 90.00 120.00
Last column: nearest neighbours and their distance in Å.
Space group R-3m (No. 166, hexagonal axes)
Inequivalent atoms, fractional coordinates:
U 0.0000 0.0000 0.0000 x3  2 I 2.97
Pd 0.0000 0.0000 0.5000 x3  6 I 2.86
I 0.0000 0.0000 0.1040 x6  3 Pd 2.86, 1 U 2.97

Properties
The raw formation energy comes out at 0.35 eV/atom. The calculation puts the density of states at the Fermi level at 2.711 states/eV/atom.



Entry 6:
# V2PdI8

A geometry-optimized V2PdI8 structure (GGA-PBE, Alexandria via LeMat-Bulk).

a b c (Å): 11.7531 10.7713 8.8059
angles (deg): 90.00 99.94 90.00
Last column: nearest neighbours and their distance in Å.
Space group C2/m (No. 12)
Inequivalent atoms, fractional coordinates:
V 0.1940 0.0000 0.2694 x4  4 I 2.54-2.59
Pd 0.0000 0.0000 0.0000 x2  4 I 2.72, 2 V 2.99
I 0.0460 0.1795 0.2196 x8  1 V 2.59, 1 Pd 2.72
I 0.1782 0.5000 0.9357 x4  1 V 2.54
I 0.1931 0.5000 0.4567 x4  1 V 2.54

Properties
The raw formation energy comes out at -0.32 eV/atom. The calculation puts the density of states at the Fermi level at 0.864 states/eV/atom.



Entry 7:
# VPdI

A geometry-optimized VPdI structure (GGA-PBE, Alexandria via LeMat-Bulk).

a b c (Å): 4.0156 18.2193 3.9423
angles (deg): 90.00 90.00 90.00
Last column: nearest neighbours and their distance in Å.
Space group Cmcm (No. 63)
Inequivalent atoms, fractional coordinates:
V 0.0000 0.0425 0.2500 x4  2 V 2.51, 2 Pd 2.62
Pd 0.0000 0.4500 0.2500 x4  6 V 2.62-2.82, 2 Pd 2.69, 2 I 2.81
I 0.0000 0.1576 0.7500 x4  2 Pd 2.81, 2 V 2.88

Properties
The raw formation energy comes out at -0.07 eV/atom. The calculation puts the density of states at the Fermi level at 0.669 states/eV/atom.



Entry 8:
# VPd3I

A geometry-optimized VPd3I structure (GGA-PBE, Alexandria via LeMat-Bulk).

a b c (Å): 4.7630 4.7630 4.7630
angles (deg): 90.00 90.00 90.00
Last column: nearest neighbours and their distance in Å.
Space group Pm-3m (No. 221)
Inequivalent atoms, fractional coordinates:
V 0.0000 0.0000 0.0000 x1  6 Pd 2.38
Pd 0.0000 0.0000 0.5000 x3  2 V 2.38
I 0.5000 0.5000 0.5000 x1  12 Pd 3.37

Properties
The raw formation energy comes out at 0.68 eV/atom. The calculation puts the density of states at the Fermi level at 0.669 states/eV/atom. Its polymorph energy (0 for the lowest one) is 0.000 eV per atom.